A plane-wave DFT calculation with PBE was carried out for a geometry-optimized Cs2CrPtS4 structure. Values from VASP.

The value obtained for the electronic total energy is -5.073 eV/atom. As for the space-group type: Fddd, No. 70. For the raw formation energy, the calculation gives -0.8375 eV/atom.

```
&SYSTEM
  ibrav = 0, nat = 16, ntyp = 4
/
ATOMIC_SPECIES
S 32.06 S.upf
Cs 132.91 Cs.upf
Cr 52.00 Cr.upf
Pt 195.08 Pt.upf
CELL_PARAMETERS angstrom
5.4775 0.0000 0.0000
2.7387 7.1799 0.0000
2.7387 0.0000 12.3120
ATOMIC_POSITIONS angstrom
S 4.2847 1.2789 1.2626
S 5.6541 4.8689 4.8934
S 3.9315 1.2789 11.0494
S 5.6541 2.3110 7.4186
S 9.7622 5.9010 11.0494
S 3.9315 5.9010 1.2626
S 2.5622 2.3110 4.8934
S 8.0396 4.8689 7.4186
Cs 6.8468 3.5900 10.5363
Cs 5.4775 0.0000 4.3803
Cs 6.8468 3.5900 1.7757
Cs 2.7387 0.0000 7.9317
Cr 0.0000 0.0000 0.0000
Cr 6.8468 3.5900 6.1560
Pt 2.7387 0.0000 0.0000
Pt 4.1081 3.5900 6.1560
```

***

A plane-wave DFT calculation with PBE was carried out for a geometry-optimized Cs4Pu3CrS8 structure. Values from VASP.

The value obtained for the electronic total energy is -6.861 eV/atom. As for the space-group type: C2/m, No. 12. For the raw formation energy, the calculation gives -1.2952 eV/atom.

```
&SYSTEM
  ibrav = 0, nat = 16, ntyp = 4
/
ATOMIC_SPECIES
Cs 132.91 Cs.upf
Cr 52.00 Cr.upf
Pu 244.00 Pu.upf
S 32.06 S.upf
CELL_PARAMETERS angstrom
-3.1545 -2.6141 -7.0288
-0.9621 -8.4966 3.5917
-3.6302 6.0730 4.0790
ATOMIC_POSITIONS angstrom
Cs 0.0000 0.0000 0.0000
Cs -1.8151 3.0365 2.0395
Cs -3.3924 1.7295 -1.4749
Cs -1.5773 -1.3070 -3.5144
Cr -0.4810 -4.2483 1.7959
Pu -2.0583 -5.5553 -1.7185
Pu -2.2961 -1.2118 3.8354
Pu -3.8734 -2.5188 0.3210
S -6.4869 -1.8353 1.0926
S -2.8614 -3.6755 2.6511
S -4.6183 -4.9280 -0.8029
S -1.2599 -3.2024 -0.4507
S -4.8854 -1.3621 -2.0092
S -4.8112 -0.4466 4.8266
S -2.9357 -4.5910 -4.1847
S -3.1285 -0.1096 1.4448
```